No. 1
# Cd2AgAu2 PBE optimized geometry
data_Cd2AgAu2
_symmetry_space_group_name_H-M 'I 4/m m m'
_symmetry_Int_Tables_number 139
_symmetry_space_group_name_Hall '-I 4 2'
_cell_length_a 3.861
_cell_length_b 3.861
_cell_length_c 14.395
_cell_angle_alpha 90.00
_cell_angle_beta 90.00
_cell_angle_gamma 90.00
loop_
_atom_site_label
_atom_site_fract_x
_atom_site_fract_y
_atom_site_fract_z
Cd1 0.000 0.000 0.098
Ag1 0.000 0.000 0.500
Au1 0.000 0.500 0.250
# ΔE to the lowest computed polymorph: 144 meV/atom
# DOS at the Fermi energy: 2.92 states/eV/cell
# formation energy: 0.4 kJ/mol of atoms
# total moment: 0.000 μB per formula unit

---

No. 2
# TaCoIr PBE optimized geometry
data_TaCoIr
_symmetry_space_group_name_H-M 'P 3 m 1'
_symmetry_Int_Tables_number 156
_cell_length_a 4.2815
_cell_length_b 4.2815
_cell_length_c 2.7449
_cell_angle_alpha 90.00
_cell_angle_beta 90.00
_cell_angle_gamma 120.00
loop_
_symmetry_equiv_pos_as_xyz
'x,y,z'
'-y,x-y,z'
'-x+y,-x,z'
'-y,-x,z'
'-x+y,y,z'
'x,x-y,z'
loop_
_atom_site_label
_atom_site_fract_x
_atom_site_fract_y
_atom_site_fract_z
Ta1 0.0000 0.0000 0.0000
Co1 0.6667 0.3333 0.0911
Ir1 0.3333 0.6667 0.5608
# ΔE to the lowest computed polymorph: 268 meV/atom
# DOS at the Fermi energy: 3.25 states/eV/cell
# formation energy: -19.5 kJ/mol of atoms
# total moment: 0.854 μB per formula unit

---

No. 3
# PaPdRuAu PBE optimized geometry
data_PaPdRuAu
_symmetry_space_group_name_H-M 'P m m m'
_symmetry_Int_Tables_number 47
_cell_length_a 3.876
_cell_length_b 4.071
_cell_length_c 4.556
_cell_angle_alpha 90.00
_cell_angle_beta 90.00
_cell_angle_gamma 90.00
loop_
_symmetry_equiv_pos_as_xyz
'x,y,z'
'-x,-y,-z'
'-x,-y,z'
'x,y,-z'
'x,-y,-z'
'-x,y,z'
'-x,y,-z'
'x,-y,z'
loop_
_atom_site_label
_atom_site_fract_x
_atom_site_fract_y
_atom_site_fract_z
Pa1 0.000 0.000 0.000
Pd1 0.500 0.000 0.500
Ru1 0.500 0.500 0.000
Au1 0.000 0.500 0.500
# ΔE to the lowest computed polymorph: 0 meV/atom
# DOS at the Fermi energy: 0.63 states/eV/cell
# formation energy: -59.9 kJ/mol of atoms
# total moment: 0.000 μB per formula unit

---

No. 4
# PmHfSe3 PBE optimized geometry
data_PmHfSe3
_symmetry_space_group_name_H-M 'P n m a'
_symmetry_Int_Tables_number 62
_cell_length_a 8.668
_cell_length_b 3.838
_cell_length_c 14.448
_cell_angle_alpha 90.00
_cell_angle_beta 90.00
_cell_angle_gamma 90.00
loop_
_symmetry_equiv_pos_as_xyz
'x,y,z'
'-x,-y,-z'
'-x+1/2,-y,z+1/2'
'x+1/2,y,-z+1/2'
'x+1/2,-y+1/2,-z+1/2'
'-x+1/2,y+1/2,z+1/2'
'-x,y+1/2,-z'
'x,-y+1/2,z'
loop_
_atom_site_label
_atom_site_fract_x
_atom_site_fract_y
_atom_site_fract_z
Pm1 0.141 0.250 0.194
Hf1 0.166 0.750 0.460
Se1 0.010 0.750 0.619
Se2 0.158 0.250 0.804
Se3 0.159 0.750 0.038
# DOS at the Fermi energy: 10.64 states/eV/cell
# total moment: 0.000 μB per formula unit
# formation energy (no corrections): -7.62 eV/f.u.